Record 1
VASP calculation (GGA-PBE) on crystalline K3Ge2Cl7 at its relaxed geometry.

a b c (Å): 5.2705 5.2705 13.6751
angles (deg): 101.11 101.11 90.00
Element x y z (fractional)
K (0.3193, 0.3193, 0.6387)
K (0.6807, 0.6807, 0.3613)
K (0.5000, 0.5000, 0.0000)
Ge (0.1032, 0.1032, 0.2065)
Ge (0.8968, 0.8968, 0.7935)
Cl (0.0000, 0.0000, 0.0000)
Cl (0.8991, 0.3991, 0.7983)
Cl (0.3991, 0.8991, 0.7983)
Cl (0.1009, 0.6009, 0.2017)
Cl (0.6009, 0.1009, 0.2017)
Cl (0.2011, 0.2011, 0.4022)
Cl (0.7989, 0.7989, 0.5978)

Computed properties:
final energy = -3.4963 eV/atom
E_form (uncorrected) = -1.375 eV per atom
space group = I4/mmm (139)
total magnetization = 0.0 μB/f.u.

---

Record 2
VASP calculation (GGA-PBE) on crystalline CdBP2Se at its relaxed geometry.

a b c (Å): 4.9284 5.3597 4.9284
angles (deg): 90.00 90.00 90.00
Site moments in Bohr magnetons follow the coordinates.
Element x y z (fractional)
P (0.0000, 0.0000, 0.5000)  0.16
P (0.5000, 0.0000, 0.0000)  0.14
B (0.5000, 0.5000, 0.5000)  -0.01
Se (0.0000, 0.5000, 0.0000)  0.07
Cd (0.0000, 0.0000, 0.0000)  0.00

Computed properties:
final energy = -2.4495 eV/atom
E_form (uncorrected) = 1.930 eV per atom
space group = P4/mmm (123)
total magnetization = 0.7 μB/f.u.

---

Record 3
VASP calculation (GGA-PBE) on crystalline LaIr5 at its relaxed geometry.

a b c (Å): 5.4547 5.4547 6.9085
angles (deg): 86.84 86.84 30.07
Element x y z (fractional)
La (0.3103, 0.3103, 0.9762)
Ir (0.0486, 0.0486, 0.9515)
Ir (0.5641, 0.5641, 0.2773)
Ir (0.2931, 0.2931, 0.3867)
Ir (0.9515, 0.9515, 0.5892)
Ir (0.6657, 0.6657, 0.6525)

Computed properties:
final energy = -8.1634 eV/atom
space group = Cm (8)
formation energy = 0.04 eV per atom
total magnetization = 0.0 μB/f.u.

---

Record 4
VASP calculation (GGA-PBE) on crystalline Tm4ZnRu at its relaxed geometry.

a b c (Å): 3.4491 3.4491 12.2011
angles (deg): 90.00 90.00 90.00
Element x y z (fractional)
Tm (0.5000, 0.5000, 0.8581)
Tm (0.5000, 0.5000, 0.1419)
Tm (0.0000, 0.0000, 0.6310)
Tm (0.0000, 0.0000, 0.3690)
Zn (0.0000, 0.0000, 0.0000)
Ru (0.5000, 0.5000, 0.5000)

Computed properties:
final energy = -5.0229 eV/atom
space group = P4/mmm (123)
E above lowest polymorph = 0 meV/atom
formation energy = -0.28 eV per atom
total magnetization = 0.0 μB/f.u.

---

Record 5
VASP calculation (GGA-PBE) on crystalline FeGeI3 at its relaxed geometry.

a b c (Å): 5.4151 5.4151 5.4151
angles (deg): 90.00 90.00 90.00
Site moments in Bohr magnetons follow the coordinates.
Element x y z (fractional)
I (0.0000, 0.5000, 0.0000)  -0.07
I (0.0000, 0.0000, 0.5000)  -0.07
I (0.5000, 0.0000, 0.0000)  -0.10
Ge (0.5000, 0.5000, 0.5000)  0.37
Fe (0.0000, 0.0000, 0.0000)  -2.99

Computed properties:
final energy = -3.1274 eV/atom
E_form (uncorrected) = 0.419 eV per atom
space group = Pm-3m (221)
E above lowest polymorph = 0 meV/atom
total magnetization = 2.6 μB/f.u.

---

Record 6
VASP calculation (GGA-PBE) on crystalline Pm3MgSb4 at its relaxed geometry.

a b c (Å): 6.3136 6.3136 6.3136
angles (deg): 90.00 90.00 90.00
Element x y z (fractional)
Sb (0.5000, 0.0000, 0.0000)
Sb (0.0000, 0.5000, 0.0000)
Sb (0.0000, 0.0000, 0.5000)
Sb (0.5000, 0.5000, 0.5000)
Mg (0.0000, 0.0000, 0.0000)
Pm (0.0000, 0.5000, 0.5000)
Pm (0.5000, 0.0000, 0.5000)
Pm (0.5000, 0.5000, 0.0000)

Computed properties:
final energy = -4.8976 eV/atom
E_form (uncorrected) = -0.856 eV per atom
space group = Pm-3m (221)
total magnetization = 0.0 μB/f.u.

---

> Number 3 is which compound?

LaIr5